No. 1
VASP calculation (PBE) on a relaxed La2ZnAs2 crystal.

Calculated values
SG: P4/mbm, No. 127

Cell: 7.9308 7.9308 4.0766 Å, 90.00 90.00 90.00°
Element x y z (fractional)
La: 0.1549 0.3451 0.0000
La: 0.3451 0.8451 0.0000
La: 0.6549 0.1549 0.0000
La: 0.8451 0.6549 0.0000
Zn: 0.0000 0.0000 0.5000
Zn: 0.5000 0.5000 0.5000
As: 0.1558 0.6558 0.5000
As: 0.3442 0.1558 0.5000
As: 0.6558 0.8442 0.5000
As: 0.8442 0.3442 0.5000

No. 2
VASP calculation (PBE) on a relaxed LaZn2As crystal.

Calculated values
SG: P2/m, No. 10

Cell: 4.1268 4.8930 4.7246 Å, 90.00 91.39 90.00°
Element x y z (fractional)
La: 0.0000 0.0000 0.0000
Zn: 0.4222 0.5000 0.7490
Zn: 0.5778 0.5000 0.2510
As: 0.5000 0.0000 0.5000

No. 3
VASP calculation (PBE) on a relaxed LaZn2As crystal.

Calculated values
SG: P4/mmm, No. 123

Cell: 4.2756 4.2756 4.8977 Å, 90.00 90.00 90.00°
Element x y z (fractional)
La: 0.0000 0.0000 0.0000
Zn: 0.0000 0.5000 0.5000
Zn: 0.5000 0.0000 0.5000
As: 0.5000 0.5000 0.0000

No. 4
VASP calculation (PBE) on a relaxed LaZn2As crystal.

Calculated values
SG: Imm2, No. 44

Cell: 5.0985 5.0985 5.0985 Å, 129.63 110.43 90.75°
Element x y z (fractional)
La: 0.0000 0.0000 0.0000
Zn: 0.5043 0.5043 0.0000
Zn: 0.7040 0.2040 0.5000
As: 0.3033 0.8033 0.5000

no.,VASP energy (eV per cell),energy of formation from the pure elements (eV/atom)
1,-51.1,-1.02
2,-14.0,-0.48
3,-14.2,-0.52
4,-13.9,-0.45